[1]
VASP calculation (PBE) on an optimized crystal structure of Sm5Ho4Mg2.

## Properties
Magnetization (μB/cell): 0.0
Crystal system: monoclinic
Volume (Å³ per atom): 31.2
D(E_F) (states/eV/cell): 16.06
Energy above the most stable polymorph in this dataset (meV per atom): 28
Total energy (hartree per atom): -0.1476

abc: 3.4704 8.6731 11.4127
angles: 93.90 90.00 90.00
Sites, in units of the cell vectors:
Ho  0.5000  0.1495  0.8871
Ho  0.5000  0.2826  0.4504
Ho  0.5000  0.8505  0.1129
Ho  0.5000  0.7174  0.5496
Sm  0.0000  0.4313  0.7028
Sm  0.0000  0.2033  0.1660
Sm  0.0000  0.5000  0.0000
Sm  0.0000  0.7967  0.8340
Sm  0.0000  0.5687  0.2972
Mg  0.0000  0.0546  0.6317
Mg  0.0000  0.9454  0.3683

---

[2]
VASP calculation (PBE) on an optimized crystal structure of DyTh2UN4.

## Properties
Magnetization (μB/cell): 0.7
Crystal system: monoclinic
Volume (Å³ per atom): 15.8
D(E_F) (states/eV/cell): 5.29
Total energy (hartree per atom): -0.3503

abc: 3.5454 6.0990 6.1919
angles: 109.08 90.00 90.00
Sites, in units of the cell vectors:
U  0.0000  0.0000  0.0000
Th  0.5000  0.0000  0.5000
Th  0.0000  0.5000  0.5000
N  0.0000  0.7589  0.2251
N  0.0000  0.2411  0.7749
N  0.5000  0.2317  0.2205
N  0.5000  0.7683  0.7795
Dy  0.5000  0.5000  0.0000

---

[3]
VASP calculation (PBE) on an optimized crystal structure of CsAgPd2F8.

## Properties
Magnetization (μB/cell): 6.1
Crystal system: trigonal
Volume (Å³ per atom): 19.1
D(E_F) (states/eV/cell): 0.00
Total energy (hartree per atom): -0.1365

abc: 6.1382 6.1382 7.0393
angles: 90.00 90.00 120.00
Sites, in units of the cell vectors:
F  0.3333  0.6667  0.6612
F  0.6831  0.0591  0.8713
F  0.9409  0.6240  0.8713
F  0.0591  0.3760  0.1287
F  0.3169  0.9409  0.1287
F  0.6667  0.3333  0.3388
F  0.6240  0.6831  0.1287
F  0.3760  0.3169  0.8713
Pd  0.3333  0.6667  0.9486
Pd  0.6667  0.3333  0.0514
Ag  0.0000  0.0000  0.0000
Cs  0.0000  0.0000  0.5000

---

[4]
VASP calculation (PBE) on an optimized crystal structure of LiTaRu2.

## Properties
Magnetization (μB/cell): 0.0
Crystal system: cubic
Volume (Å³ per atom): 14.6
D(E_F) (states/eV/cell): 5.82
Energy above the most stable polymorph in this dataset (meV per atom): 384
Total energy (hartree per atom): -0.2901

abc: 4.3519 4.3519 4.3519
angles: 60.00 60.00 60.00
Sites, in units of the cell vectors:
Ru  0.2500  0.2500  0.2500
Ru  0.0000  0.0000  0.0000
Li  0.5000  0.5000  0.5000
Ta  0.7500  0.7500  0.7500

---

[5]
VASP calculation (PBE) on an optimized crystal structure of SmSc6Te8.

## Properties
Magnetization (μB/cell): 0.0
Crystal system: cubic
Volume (Å³ per atom): 27.3
D(E_F) (states/eV/cell): 8.67
Total energy (hartree per atom): -0.2104

abc: 8.3354 8.3354 8.3354
angles: 60.00 60.00 60.00
Sites, in units of the cell vectors:
Sc  0.0000  0.5000  0.5000
Sc  0.5000  0.5000  0.0000
Sc  0.0000  0.5000  0.0000
Sc  0.5000  0.0000  0.5000
Sc  0.5000  0.0000  0.0000
Sc  0.0000  0.0000  0.5000
Te  0.2647  0.7353  0.7353
Te  0.2647  0.7353  0.2647
Te  0.2647  0.2647  0.7353
Te  0.2500  0.2500  0.2500
Te  0.7353  0.2647  0.7353
Te  0.7353  0.2647  0.2647
Te  0.7353  0.7353  0.2647
Te  0.7500  0.7500  0.7500
Sm  0.0000  0.0000  0.0000

---

[6]
VASP calculation (PBE) on an optimized crystal structure of KRe2Tc.

## Properties
Magnetization (μB/cell): 0.0
Crystal system: tetragonal
Volume (Å³ per atom): 17.1
D(E_F) (states/eV/cell): 5.13
Energy above the most stable polymorph in this dataset (meV per atom): 1061
Total energy (hartree per atom): -0.2686

abc: 4.9706 4.9706 2.7637
angles: 90.00 90.00 90.00
Sites, in units of the cell vectors:
K  0.0000  0.5000  0.5000
Re  0.0000  0.0000  0.0000
Re  0.5000  0.5000  0.0000
Tc  0.5000  0.0000  0.5000

---

[7]
VASP calculation (PBE) on an optimized crystal structure of MgGaRu.

## Properties
Magnetization (μB/cell): 0.0
Crystal system: monoclinic
Volume (Å³ per atom): 15.4
D(E_F) (states/eV/cell): 2.39
Total energy (hartree per atom): -0.1789

abc: 4.3777 3.1781 6.9989
angles: 90.00 107.99 90.00
Sites, in units of the cell vectors:
Ru  0.1768  0.5000  0.6441
Ru  0.4779  0.5000  0.2429
Mg  0.8400  0.5000  0.9663
Mg  0.6483  0.0000  0.5866
Ga  0.0208  0.0000  0.3291
Ga  0.3271  0.0000  0.9402

---

[8]
VASP calculation (PBE) on an optimized crystal structure of Tb3ThPd12.

## Properties
Magnetization (μB/cell): 0.0
Crystal system: tetragonal
Volume (Å³ per atom): 17.9
D(E_F) (states/eV/cell): 7.95
Total energy (hartree per atom): -0.2255

abc: 4.1590 4.1590 16.5648
angles: 90.00 90.00 90.00
Sites, in units of the cell vectors:
Tb  0.0000  0.0000  0.5000
Tb  0.0000  0.0000  0.2531
Tb  0.0000  0.0000  0.7469
Pd  0.0000  0.5000  0.1261
Pd  0.0000  0.5000  0.3755
Pd  0.5000  0.5000  0.5000
Pd  0.5000  0.5000  0.2509
Pd  0.5000  0.0000  0.8739
Pd  0.5000  0.0000  0.3755
Pd  0.5000  0.5000  0.0000
Pd  0.5000  0.0000  0.6245
Pd  0.0000  0.5000  0.8739
Pd  0.5000  0.5000  0.7491
Pd  0.0000  0.5000  0.6245
Pd  0.5000  0.0000  0.1261
Th  0.0000  0.0000  0.0000

---

[9]
VASP calculation (PBE) on an optimized crystal structure of Sc5Au6.

## Properties
Magnetization (μB/cell): 0.0
Crystal system: orthorhombic
Volume (Å³ per atom): 21.0
D(E_F) (states/eV/cell): 7.90
Total energy (hartree per atom): -0.1967

abc: 4.6799 6.9177 8.2642
angles: 114.74 106.45 90.00
Sites, in units of the cell vectors:
Sc  0.3465  0.8465  0.6930
Sc  0.3313  0.3313  0.6626
Sc  0.0000  0.5000  0.0000
Sc  0.6687  0.6687  0.3374
Sc  0.6535  0.1535  0.3070
Au  0.8244  0.0866  0.6488
Au  0.1756  0.9134  0.3512
Au  0.1756  0.4378  0.3512
Au  0.5000  0.7342  0.0000
Au  0.5000  0.2658  0.0000
Au  0.8244  0.5622  0.6488

---

[10]
VASP calculation (PBE) on an optimized crystal structure of SrCd11Hg.

## Properties
Magnetization (μB/cell): 0.0
Crystal system: monoclinic
Volume (Å³ per atom): 24.0
D(E_F) (states/eV/cell): 4.29
Total energy (hartree per atom): -0.0380

abc: 6.0263 7.8063 7.7992
angles: 81.33 67.27 67.02
Sites, in units of the cell vectors:
Cd  0.9951  0.6462  0.3561
Cd  0.4987  0.2145  0.7850
Cd  0.0000  0.0000  0.5000
Cd  0.2836  0.2145  0.2150
Cd  0.7164  0.7855  0.7850
Cd  0.3511  0.6462  0.6439
Cd  0.0049  0.3538  0.6439
Cd  0.6489  0.3538  0.3561
Cd  0.5000  0.0000  0.5000
Cd  0.0000  0.5000  0.0000
Cd  0.5013  0.7855  0.2150
Sr  0.0000  0.0000  0.0000
Hg  0.5000  0.5000  0.0000

---

[11]
VASP calculation (PBE) on an optimized crystal structure of SrInPt2.

## Properties
Magnetization (μB/cell): 0.0
Crystal system: tetragonal
Volume (Å³ per atom): 21.6
D(E_F) (states/eV/cell): 2.02
Total energy (hartree per atom): -0.1716

abc: 3.5061 3.5061 7.0250
angles: 90.00 90.00 90.00
Sites, in units of the cell vectors:
Sr  0.5000  0.5000  0.2500
Pt  0.0000  0.0000  0.5464
Pt  0.0000  0.0000  0.9536
In  0.5000  0.5000  0.7500

---

[12]
VASP calculation (PBE) on an optimized crystal structure of FeSn.

## Properties
Magnetization (μB/cell): 13.7
Crystal system: cubic
Volume (Å³ per atom): 28.5
D(E_F) (states/eV/cell): 12.09
Total energy (hartree per atom): -0.2108

abc: 7.7003 7.7003 7.7003
angles: 90.00 90.00 90.00
Sites, in units of the cell vectors:
Fe  0.6072  0.6072  0.6072
Fe  0.3928  0.3928  0.6072
Fe  0.1072  0.8928  0.8928
Fe  0.8928  0.1072  0.8928
Fe  0.6072  0.3928  0.3928
Fe  0.3928  0.6072  0.3928
Fe  0.8928  0.8928  0.1072
Fe  0.1072  0.1072  0.1072
Sn  0.7938  0.2062  0.2062
Sn  0.2938  0.7062  0.7062
Sn  0.2062  0.2062  0.7938
Sn  0.2062  0.7938  0.2062
Sn  0.2938  0.2938  0.2938
Sn  0.7062  0.7062  0.2938
Sn  0.7938  0.7938  0.7938
Sn  0.7062  0.2938  0.7062